(1)
Entry from Alexandria: HoP2Pd2 at its PBEsol-relaxed geometry (meta-GGA SCAN).

Lattice parameters (Å, degrees): 4.0278 4.0278 9.7787 90.00 90.00 90.00
Space group I4/mmm (No. 139)
Symmetry-distinct sites (fractional):
Ho1 0.0000 0.0000 0.0000 x2
P1 0.0000 0.0000 0.3889 x4
Pd1 0.0000 0.5000 0.2500 x4

Results
* E_tot: -280.6 eV per cell
* ΔH_f (0 K): -0.997 eV/atom
* calculated volume: 15.86 Å³/atom
* N(E_F): 2.19 states/eV/cell

***

(2)
Entry from Alexandria: YMg3 at its PBEsol-relaxed geometry (meta-GGA SCAN).

Lattice parameters (Å, degrees): 3.1771 5.0216 6.3262 90.00 102.02 90.00
Space group P2/m (No. 10)
Symmetry-distinct sites (fractional):
Y1 0.0000 0.0000 0.0000 x1
Mg1 0.3344 0.5000 0.7405 x2
Mg2 0.5000 0.0000 0.5000 x1

Results
* E_tot: -42.9 eV per cell
* ΔH_f (0 K): -0.035 eV/atom
* calculated volume: 24.68 Å³/atom
* N(E_F): 2.40 states/eV/cell

***

(3)
Entry from Alexandria: Li4Nb3V5O16 at its PBEsol-relaxed geometry (meta-GGA SCAN).

Lattice parameters (Å, degrees): 10.0778 5.8087 9.7139 90.00 90.48 90.00
Space group Cm (No. 8)
Symmetry-distinct sites (fractional):
Li1 0.0000 0.0000 0.0000 x2
Li2 0.0133 0.0000 0.4975 x2
Li3 0.1918 0.5000 0.8900 x2
Li4 0.3594 0.0000 0.4062 x2
Nb1 0.1129 0.2708 0.2179 x4
Nb2 0.1931 0.0000 0.7231 x2
V1 0.1963 0.5000 0.4953 x2
V2 0.3380 0.5000 0.2216 x2
V3 0.3581 0.0000 0.9952 x2
V4 0.4386 0.2350 0.7173 x4
O1 0.0032 0.5000 0.8450 x2
O2 0.0139 0.0000 0.3155 x2
O3 0.0159 0.0000 0.8173 x2
O4 0.0405 0.5000 0.3633 x2
O5 0.1065 0.2544 0.6064 x4
O6 0.1886 0.0000 0.0957 x2
O7 0.2010 0.5000 0.0792 x2
O8 0.2684 0.2725 0.3546 x4
O9 0.2873 0.2226 0.8498 x4
O10 0.3547 0.5000 0.6123 x2
O11 0.3578 0.0000 0.6006 x2
O12 0.4312 0.2479 0.1083 x4

Results
* E_tot: -735.8 eV per cell
* calculated volume: 10.15 Å³/atom
* N(E_F): 9.21 states/eV/cell
* raw formation energy: -2564 meV/atom